Record 1
The following is a PBE calculation of K2CaCoAg after structural relaxation, from Alexandria via LeMat-Bulk.

```
K2CaCoAg
1.0
-3.1963 -2.3961 -5.4927
-3.4531 -1.4484 2.6413
-3.1173 5.9814 -0.7953
Ca K Ag Co
1 2 1 1
direct
0.0000 0.0000 0.0000 Ca
0.5000 0.0000 0.0000 K
0.0000 0.0000 0.5000 K
0.5000 0.5000 0.5000 Ag
0.0000 0.5000 0.0000 Co
```

Its space group is P4/mmm (123). The raw total energy is -9.240 eV/cell. Its density of states at the Fermi level is 0.886 states/eV/atom. The value obtained for the magnetization is 0.004 μB/atom.


Record 2
The following is a PBE calculation of CaLa2CoAg after structural relaxation, from Alexandria via LeMat-Bulk.

```
CaLa2CoAg
1.0
5.1699 0.0000 0.0000
0.0000 5.1699 0.0000
0.0000 0.0000 5.4282
La Ag Co Ca
2 1 1 1
direct
0.5000 0.0000 0.0000 La
0.0000 0.5000 0.0000 La
0.0000 0.0000 0.5000 Ag
0.0000 0.0000 0.0000 Co
0.5000 0.5000 0.5000 Ca
```

Its space group is P4/mmm (123). The raw total energy is -21.897 eV/cell. Its density of states at the Fermi level is 0.852 states/eV/atom. The value obtained for the magnetization is 0.000 μB/atom.


Record 3
The following is a PBE calculation of CaLa2CoAg after structural relaxation, from Alexandria via LeMat-Bulk.

```
CaLa2CoAg
1.0
-2.0640 2.9325 3.7299
3.5220 -1.7786 3.3473
3.4565 4.2121 -1.3988
La Co Ca Ag
2 1 1 1
direct
0.5000 0.0000 0.0000 La
0.0000 0.5000 0.0000 La
0.0000 0.0000 0.0000 Co
0.0000 0.0000 0.5000 Ca
0.5000 0.5000 0.5000 Ag
```

Its space group is P4/mmm (123). The raw total energy is -22.195 eV/cell. Its density of states at the Fermi level is 0.683 states/eV/atom. The value obtained for the magnetization is 0.000 μB/atom.